Material: Sm6TeSe2S3
Method: DFT, PBE
State: optimized geometry

Cell lengths 18.1344, 4.1084, 8.3640 Å; angles 90.00, 104.29, 90.00 degrees
Closest atoms and distances in Å follow each position.
Space group C2/m (No. 12)
One atom of each set of equivalent atoms:
Sm 0.0052 0.0000 0.2224 (multiplicity 4)  3 S 2.76-2.81, 1 Se 3.05
Sm 0.1612 0.5000 0.0965 (multiplicity 4)  3 S 2.83, 3 Se 3.02-3.04
Sm 0.1773 0.5000 0.5696 (multiplicity 4)  3 S 2.78-2.84, 2 Se 3.05
Te 0.0000 0.5000 0.5000 (multiplicity 2)  6 Sm 3.12
Se 0.1675 0.0000 0.8330 (multiplicity 4)  6 Sm 3.02-3.05
S 0.0000 0.5000 0.0000 (multiplicity 2)  6 Sm 2.76-2.83
S 0.1646 0.0000 0.3304 (multiplicity 4)  6 Sm 2.78-2.84

Results
- Raw total energy: -6.084 eV/atom
- Formation energy without anion corrections: -1.85 eV/atom
- Crystal system: monoclinic